A plane-wave DFT calculation with PBE-GGA was carried out for crystalline Mn2Ir2Au at its relaxed geometry.

Computed properties:
Relative energy among the computed polymorphs in eV per atom: 0.000
Total energy in eV for the cell shown: -77.1
Symmetry: P4/mbm (127)
E_form in eV per atom: 0.16
N(E_F) in states/eV/f.u.: 5.1
Magnetization in μB per cell: 3.5

Cell lengths 7.2731, 7.2731, 2.6893 Å; angles 90.00, 90.00, 90.00 degrees
Fractional coordinates of all 10 atoms:
Mn: 0.6176 0.1176 0.0000
Mn: 0.1176 0.3824 0.0000
Mn: 0.3824 0.8824 0.0000
Mn: 0.8824 0.6176 0.0000
Ir: 0.1691 0.6691 0.5000
Ir: 0.8309 0.3309 0.5000
Ir: 0.6691 0.8309 0.5000
Ir: 0.3309 0.1691 0.5000
Au: 0.5000 0.5000 0.0000
Au: 0.0000 0.0000 0.0000